Below is a relaxed structure of B2C, with properties calculated at the PBE-GGA level.

Total magnetic moment = 0.0 μB/cell
Energy relative to the lowest polymorph listed for this composition = 82 kJ/mol of formula units
D(E_F) = 0.163 states/eV per atom
ΔH_f (0 K) = 0.470 eV/atom

Lattice parameters (Å, degrees): 8.8405 3.8443 5.4827 90.00 108.20 90.00
Space group C2 (No. 5)
One atom of each set of equivalent atoms:
B 0.0000 0.0000 0.0000 [2 per cell]
B 0.0000 0.0104 0.5000 [2 per cell]
B 0.0165 0.6777 0.7944 [4 per cell]
B 0.1739 0.5090 0.3862 [4 per cell]
B 0.1797 0.1776 0.0379 [4 per cell]
C 0.1672 0.2182 0.5958 [4 per cell]
C 0.1706 0.4596 0.8220 [4 per cell]

Below is a relaxed structure of TaV2C, with properties calculated at the PBE-GGA level.

Total magnetic moment = 0.0 μB/cell
D(E_F) = 0.616 states/eV per atom
ΔH_f (0 K) = -0.298 eV/atom

Lattice parameters (Å, degrees): 2.9148 2.9148 21.0602 90.00 90.00 120.00
Space group R-3m (No. 166, hexagonal axes)
One atom of each set of equivalent atoms:
Ta 0.0000 0.0000 0.0000 [3 per cell]
V 0.0000 0.0000 0.2202 [6 per cell]
C 0.0000 0.0000 0.5000 [3 per cell]

Below is a relaxed structure of ScTa2MnIr, with properties calculated at the PBE-GGA level.

Total magnetic moment = 0.5 μB/cell
D(E_F) = 1.832 states/eV per atom
ΔH_f (0 K) = 1.207 eV/atom

Lattice parameters (Å, degrees): 4.8506 4.8506 4.8408 90.00 90.00 90.00
Space group P4/mmm (No. 123)
One atom of each set of equivalent atoms:
Sc 0.0000 0.0000 0.0000 [1 per cell]
Ta 0.0000 0.5000 0.5000 [2 per cell]
Mn 0.5000 0.5000 0.0000 [1 per cell]
Ir 0.0000 0.0000 0.5000 [1 per cell]

Q: What is the D(E_F) in the third record?
A: 1.832 states/eV per atom

Q: ΔH_f (0 K) of number 1 (B2C)?
A: 0.470 eV/atom

Q: Which value of total magnetic moment does entry 1 give?
A: 0.0 μB/cell

Please write out number 1 again, unchanged.
Below is a relaxed structure of B2C, with properties calculated at the PBE-GGA level.

Total magnetic moment = 0.0 μB/cell
Energy relative to the lowest polymorph listed for this composition = 82 kJ/mol of formula units
D(E_F) = 0.163 states/eV per atom
ΔH_f (0 K) = 0.470 eV/atom

Lattice parameters (Å, degrees): 8.8405 3.8443 5.4827 90.00 108.20 90.00
Space group C2 (No. 5)
One atom of each set of equivalent atoms:
B 0.0000 0.0000 0.0000 [2 per cell]
B 0.0000 0.0104 0.5000 [2 per cell]
B 0.0165 0.6777 0.7944 [4 per cell]
B 0.1739 0.5090 0.3862 [4 per cell]
B 0.1797 0.1776 0.0379 [4 per cell]
C 0.1672 0.2182 0.5958 [4 per cell]
C 0.1706 0.4596 0.8220 [4 per cell]